DFT (meta-GGA SCAN) results for a crystal of ScAl2Mo relaxed with PBEsol.

Cell lengths 3.857, 4.030, 4.215 Å; angles 90.00, 90.00, 90.00 degrees
Fractional coordinates of all 4 atoms:
Sc  0.000  0.000  0.000
Al  0.000  0.500  0.500
Al  0.500  0.000  0.500
Mo  0.500  0.500  0.000

Computed properties:
E above lowest polymorph   0.42 eV/f.u.
ΔE_f   -22.3 kJ per mole of atoms
SG   Pmmm, No. 47


DFT (meta-GGA SCAN) results for a crystal of ScAlSiMo2 relaxed with PBEsol.

Cell lengths 4.499, 4.499, 4.818 Å; angles 90.00, 90.00, 90.00 degrees
Fractional coordinates of all 5 atoms:
Sc  0.000  0.000  0.000
Al  0.000  0.000  0.500
Si  0.500  0.500  0.500
Mo  0.000  0.500  0.000
Mo  0.500  0.000  0.000

Computed properties:
Total energy   -91.7 eV per formula unit
SG   P4/mmm, No. 123


DFT (meta-GGA SCAN) results for a crystal of AlMoSe2 relaxed with PBEsol.

Cell lengths 6.453, 6.453, 6.453 Å; angles 90.00, 90.00, 90.00 degrees
Fractional coordinates of all 16 atoms:
Al  0.000  0.000  0.000
Al  0.000  0.500  0.500
Al  0.500  0.000  0.500
Al  0.500  0.500  0.000
Mo  0.250  0.250  0.250
Mo  0.250  0.750  0.750
Mo  0.750  0.250  0.750
Mo  0.750  0.750  0.250
Se  0.000  0.000  0.500
Se  0.000  0.500  0.000
Se  0.250  0.250  0.750
Se  0.250  0.750  0.250
Se  0.500  0.000  0.000
Se  0.500  0.500  0.500
Se  0.750  0.250  0.250
Se  0.750  0.750  0.750

Computed properties:
Total energy   -80.1 eV per formula unit
SG   F-43m, No. 216


DFT (meta-GGA SCAN) results for a crystal of AlMoSe4 relaxed with PBEsol.

Cell lengths 5.565, 5.565, 5.565 Å; angles 60.00, 60.00, 60.00 degrees
Fractional coordinates of all 6 atoms:
Al  0.000  0.000  0.000
Mo  0.250  0.250  0.250
Se  0.127  0.624  0.624
Se  0.624  0.127  0.624
Se  0.624  0.624  0.127
Se  0.624  0.624  0.624

Computed properties:
Total energy   -116.7 eV per formula unit
SG   F-43m, No. 216


DFT (meta-GGA SCAN) results for a crystal of AlMoSe relaxed with PBEsol.

Cell lengths 6.060, 6.060, 6.060 Å; angles 90.00, 90.00, 90.00 degrees
Fractional coordinates of all 12 atoms:
Al  0.000  0.000  0.000
Al  0.000  0.500  0.500
Al  0.500  0.000  0.500
Al  0.500  0.500  0.000
Mo  0.250  0.250  0.750
Mo  0.250  0.750  0.250
Mo  0.750  0.250  0.250
Mo  0.750  0.750  0.750
Se  0.000  0.000  0.500
Se  0.000  0.500  0.000
Se  0.500  0.000  0.000
Se  0.500  0.500  0.500

Computed properties:
Total energy   -61.2 eV per formula unit
SG   F-43m, No. 216


DFT (meta-GGA SCAN) results for a crystal of AlMoSe2 relaxed with PBEsol.

Cell lengths 3.350, 4.868, 4.681 Å; angles 90.00, 110.85, 90.00 degrees
Fractional coordinates of all 4 atoms:
Al  0.000  0.000  0.000
Mo  0.601  0.500  0.201
Se  0.310  0.500  0.623
Se  0.704  0.000  0.411

Computed properties:
Total energy   -82.9 eV per formula unit
SG   Pm, No. 6


DFT (meta-GGA SCAN) results for a crystal of AlMoSe2 relaxed with PBEsol.

Cell lengths 8.225, 3.226, 5.221 Å; angles 90.00, 96.72, 90.00 degrees
Fractional coordinates of all 8 atoms:
Al  0.000  0.000  0.000
Al  0.500  0.500  0.000
Mo  0.000  0.500  0.500
Mo  0.500  0.000  0.500
Se  0.221  0.000  0.726
Se  0.279  0.500  0.274
Se  0.721  0.500  0.726
Se  0.779  0.000  0.274

Computed properties:
Total energy   -82.6 eV per formula unit
SG   C2/m, No. 12


DFT (meta-GGA SCAN) results for a crystal of AlSiMo2 relaxed with PBEsol.

Cell lengths 3.822, 3.822, 7.862 Å; angles 90.00, 90.00, 90.00 degrees
Fractional coordinates of all 8 atoms:
Al  0.000  0.000  0.000
Al  0.500  0.500  0.500
Si  0.000  0.500  0.750
Si  0.500  0.000  0.250
Mo  0.000  0.000  0.500
Mo  0.000  0.500  0.250
Mo  0.500  0.000  0.750
Mo  0.500  0.500  0.000

Computed properties:
E above lowest polymorph   0.82 eV/f.u.
SG   I-4m2, No. 119